Material: Tb2GaIr
Method: DFT, PBE
State: optimized geometry

The calculation puts the energy of formation at -2.81 eV per formula unit. As for the density of states at the Fermi level: 1.60 states/eV/cell. The value obtained for the total magnetic moment is 0.000 μB/f.u. The total energy comes out at -23.96 eV per formula unit.

The space group is P4/mmm (No. 123) and the conventional cell measures 3.5528, 3.5528 and 6.9380 Å, with angles of 90.00, 90.00 and 90.00 degrees. The asymmetric unit holds Tb at (0.0000, 0.0000, 0.2342), Ga at (0.5000, 0.5000, 0.5000) and Ir at (0.5000, 0.5000, 0.0000).